Density functional theory data (PBE-GGA) for crystalline Na12Hg3Pd at its relaxed geometry.

Cell: 4.8563 4.8563 18.7990 Å, 90.00 90.00 90.00°
Element x y z (fractional)
1 Na 0.0000 0.0000 0.0000
2 Na 0.0000 0.0000 0.2409
3 Na 0.0000 0.0000 0.5000
4 Na 0.0000 0.0000 0.7591
5 Na 0.0000 0.5000 0.1103
6 Na 0.0000 0.5000 0.3701
7 Na 0.0000 0.5000 0.6299
8 Na 0.0000 0.5000 0.8897
9 Na 0.5000 0.0000 0.1103
10 Na 0.5000 0.0000 0.3701
11 Na 0.5000 0.0000 0.6299
12 Na 0.5000 0.0000 0.8897
13 Hg 0.5000 0.5000 0.2412
14 Hg 0.5000 0.5000 0.5000
15 Hg 0.5000 0.5000 0.7588
16 Pd 0.5000 0.5000 0.0000

## Properties
As for the crystal system: tetragonal. The formation energy comes out at -0.099 eV per atom.

Density functional theory data (PBE-GGA) for crystalline FeMoOs at its relaxed geometry.

Cell: 4.2896 4.2896 2.6746 Å, 90.00 90.00 120.00°
Element x y z (fractional)
1 Fe 0.0000 0.0000 0.0000
2 Mo 0.6667 0.3333 0.3087
3 Os 0.3333 0.6667 0.6706

## Properties
The relative energy among the computed polymorphs is 29 meV per atom. As for the crystal system: trigonal. The formation energy comes out at 0.157 eV per atom.

Density functional theory data (PBE-GGA) for crystalline AcGaTeCl at its relaxed geometry.

Cell: 5.5033 5.5033 5.5033 Å, 60.00 60.00 60.00°
Element x y z (fractional)
1 Ac 0.0000 0.0000 0.0000
2 Ga 0.5000 0.5000 0.5000
3 Te 0.7500 0.7500 0.7500
4 Cl 0.2500 0.2500 0.2500

## Properties
The calculation puts the formation energy (no corrections) at -4.2 eV per formula unit. As for the crystal system: cubic.

| no. | raw total energy (eV per atom) | mass density (g/cm³) |
| --- | --- | --- |
| 1 | -1.470 | 3.686 |
| 2 | -10.017 | 13.325 |
| 3 | -4.077 | 6.478 |